Compound: Li3NbV2O6
Source: Alexandria via LeMat-Bulk
Functional: GGA+U
Structure: relaxed

Energy relative to the lowest polymorph listed for this composition (meV/atom): 18
Final energy (eV for the cell shown): -85.62
Volume (Å³ per cell): 117.0
Space-group type: C2/m

abc: 2.916 6.166 6.864
angles: 103.73 102.26 90.00
Each line ends with the local moment (μB).
Element x y z (fractional)
O: 0.659 0.085 0.319  0.00
Li: 0.500 0.500 0.000  0.00
V: 0.165 0.335 0.329  2.14
O: 0.001 0.744 0.001  0.00
Li: 0.170 0.816 0.340  0.00
O: 0.341 0.915 0.681  0.00
Li: 0.830 0.184 0.660  0.00
Nb: 0.500 0.000 0.000  -0.13
O: 0.674 0.573 0.347  0.00
V: 0.835 0.665 0.671  2.14
O: 0.999 0.256 0.999  0.00
O: 0.326 0.427 0.653  0.00